Entry 1:
Material: PmThNi
Method: DFT, PBE
State: relaxed

abc: 6.803 6.860 7.121
angles: 90.00 108.45 90.00
Atoms (fractional coordinates):
1 Ni 0.523 0.476 0.193
2 Ni 0.477 0.524 0.807
3 Ni 0.023 0.024 0.693
4 Ni 0.977 0.976 0.307
5 Th 0.174 0.337 0.924
6 Th 0.826 0.663 0.076
7 Th 0.326 0.837 0.576
8 Th 0.674 0.163 0.424
9 Pm 0.297 0.838 0.070
10 Pm 0.797 0.662 0.570
11 Pm 0.703 0.162 0.930
12 Pm 0.203 0.338 0.430

## Properties
Excess energy over the best structure of this formula in the dataset = 95 meV per atom

---

Entry 2:
Material: Pm3ThNi8
Method: DFT, PBE
State: relaxed

abc: 5.154 5.154 8.937
angles: 73.24 73.24 60.00
Atoms (fractional coordinates):
1 Pm 0.374 0.374 0.879
2 Pm 0.003 0.003 0.992
3 Pm 0.497 0.497 0.509
4 Th 0.877 0.877 0.370
5 Ni 0.935 0.438 0.190
6 Ni 0.441 0.937 0.685
7 Ni 0.438 0.438 0.190
8 Ni 0.937 0.937 0.685
9 Ni 0.188 0.188 0.437
10 Ni 0.688 0.688 0.937
11 Ni 0.438 0.935 0.190
12 Ni 0.937 0.441 0.685

---

Number 1: uncorrected energy -73.4 eV for the cell shown, formation enthalpy at 0 K -0.1335 eV/atom. Number 2: uncorrected energy -72.1 eV for the cell shown, formation enthalpy at 0 K -0.3495 eV/atom.